Entry 1:
Density functional theory data (PBE-GGA) for a geometry-optimized Al2ZnAg structure.

VASP energy ... -0.105 hartree per atom

Structure (extended XYZ):
```
8
Lattice="2.822 0.000 0.000 0.000 4.837 0.000 0.000 0.000 9.917" Properties=species:S:1:pos:R:3 pbc="T T T"
Al 0.000 0.000 2.467
Al 0.000 0.000 7.450
Al 1.411 2.418 2.492
Al 1.411 2.418 7.425
Zn 0.000 2.418 0.000
Zn 1.411 0.000 4.958
Ag 0.000 2.418 4.958
Ag 1.411 0.000 0.000
```



Entry 2:
Density functional theory data (PBE-GGA) for a geometry-optimized Al2ZnAg structure.

VASP energy ... -0.106 hartree per atom

Structure (extended XYZ):
```
4
Lattice="2.869 0.000 0.000 0.000 2.869 0.000 0.000 0.000 8.043" Properties=species:S:1:pos:R:3 pbc="T T T"
Al 0.000 0.000 1.967
Al 0.000 0.000 6.076
Zn 1.434 1.434 0.000
Ag 1.434 1.434 4.022
```



Entry 3:
Density functional theory data (PBE-GGA) for a geometry-optimized Al2ZnAg structure.

VASP energy ... -0.105 hartree per atom

Structure (extended XYZ):
```
8
Lattice="2.774 0.000 0.000 0.000 4.888 0.000 0.000 0.000 9.945" Properties=species:S:1:pos:R:3 pbc="T T T"
Al 0.000 0.000 0.000
Al 0.000 2.444 2.438
Al 1.387 0.000 7.410
Al 1.387 2.444 4.973
Zn 0.000 2.444 7.435
Zn 1.387 0.000 2.463
Ag 0.000 0.000 4.939
Ag 1.387 2.444 9.911
```



Entry 4:
Density functional theory data (PBE-GGA) for a geometry-optimized Al7Zn12Ag structure.

VASP energy ... -0.069 hartree per atom

Structure (extended XYZ):
```
20
Lattice="-4.711 4.711 4.711 4.711 -4.711 4.711 4.711 4.711 -4.711" Properties=species:S:1:pos:R:3 pbc="T T T"
Al 2.355 2.355 -2.355
Al 2.355 -2.355 2.355
Al 4.711 0.000 0.000
Al -2.355 2.355 2.355
Al 0.000 4.711 0.000
Al 0.000 0.000 4.711
Al 2.355 2.355 2.355
Zn 4.711 -2.266 3.363
Zn 2.444 1.347 0.000
Zn 6.977 1.347 0.000
Zn 3.363 4.711 -2.266
Zn 1.347 0.000 2.444
Zn 0.000 2.444 1.347
Zn 4.711 2.266 3.363
Zn 3.363 4.711 2.266
Zn 1.347 0.000 6.977
Zn -2.266 3.363 4.711
Zn 2.266 3.363 4.711
Zn 0.000 6.977 1.347
Ag 0.000 0.000 0.000
```



Entry 5:
Density functional theory data (PBE-GGA) for a geometry-optimized AlZn5Ag2 structure.

Relative energy among the computed polymorphs ... 10 kJ/mol of formula units

Structure (extended XYZ):
```
16
Lattice="6.214 0.000 0.000 0.000 6.214 0.000 0.000 0.000 6.577" Properties=species:S:1:pos:R:3 pbc="T T T"
Al 0.000 0.000 0.000
Al 3.107 3.107 3.289
Zn 0.000 0.000 3.921
Zn 1.376 1.376 1.950
Zn 1.376 4.837 1.950
Zn 1.731 1.731 5.238
Zn 1.731 4.483 5.238
Zn 3.107 3.107 0.632
Zn 4.483 1.731 5.238
Zn 4.483 4.483 5.238
Zn 4.837 1.376 1.950
Zn 4.837 4.837 1.950
Ag 0.000 3.107 0.295
Ag 0.000 3.107 3.583
Ag 3.107 0.000 0.295
Ag 3.107 0.000 3.583
```



Entry 6:
Density functional theory data (PBE-GGA) for a geometry-optimized AlZnAg2 structure.

VASP energy ... -0.099 hartree per atom

Structure (extended XYZ):
```
12
Lattice="2.937 0.000 0.000 -1.468 2.543 0.000 0.000 0.000 26.790" Properties=species:S:1:pos:R:3 pbc="T T T"
Al 0.000 0.000 0.000
Al 0.000 1.696 17.860
Al 1.468 0.848 8.930
Zn 0.000 0.000 13.395
Zn 0.000 1.696 4.465
Zn 1.468 0.848 22.325
Ag 0.000 0.000 6.705
Ag 0.000 0.000 20.085
Ag 0.000 1.696 11.155
Ag 0.000 1.696 24.565
Ag 1.468 0.848 2.225
Ag 1.468 0.848 15.635
```



Entry 7:
Density functional theory data (PBE-GGA) for a geometry-optimized AlZnAg2 structure.

VASP energy ... -0.099 hartree per atom

Structure (extended XYZ):
```
16
Lattice="4.923 0.000 0.000 0.008 5.765 0.000 1.554 0.003 9.271" Properties=species:S:1:pos:R:3 pbc="T T T"
Al 1.211 0.745 3.464
Al 1.990 2.142 8.099
Al 4.495 3.627 1.172
Al 5.275 5.023 5.807
Zn 2.058 5.063 1.150
Zn 2.835 3.587 5.786
Zn 3.651 2.182 3.485
Zn 4.428 0.705 8.121
Ag 1.972 5.019 8.128
Ag 1.194 3.632 3.494
Ag 2.812 0.691 5.809
Ag 2.036 2.194 1.172
Ag 4.450 3.574 8.099
Ag 3.673 5.077 3.462
Ag 5.291 2.136 5.777
Ag 4.513 0.749 1.143
```



Entry 8:
Density functional theory data (PBE-GGA) for a geometry-optimized Al2ZnAg structure.

VASP energy ... -0.107 hartree per atom

Structure (extended XYZ):
```
12
Lattice="2.969 0.000 0.000 -1.485 2.571 0.000 0.000 0.000 25.909" Properties=species:S:1:pos:R:3 pbc="T T T"
Al 0.000 0.000 0.000
Al 0.000 0.000 6.428
Al 0.000 1.714 17.273
Al 0.000 1.714 23.701
Al 1.485 0.857 8.636
Al 1.485 0.857 15.064
Zn 0.000 0.000 12.987
Zn 0.000 1.714 4.351
Zn 1.485 0.857 21.623
Ag 0.000 0.000 19.431
Ag 0.000 1.714 10.794
Ag 1.485 0.857 2.158
```